# 1
RbHg2I | PBE-GGA | optimized geometry

Results
Size of the total moment = 0.00 μB per formula unit
DOS(E_F) = 0.00 states/eV per cell
E_form (uncorrected) = -0.58 eV per atom

a b c (Å): 10.259 10.259 8.053
angles (deg): 50.43 50.43 90.00
Sites, in units of the cell vectors:
I1 0.000 0.000 0.000
I2 0.750 0.250 0.500
Hg1 0.636 0.125 0.250
Hg2 0.114 0.625 0.250
Hg3 0.375 0.364 0.750
Hg4 0.875 0.886 0.750
Rb1 0.500 0.500 0.000
Rb2 0.250 0.750 0.500


# 2
Li5P3Pd12 | PBE-GGA | optimized geometry

Results
ΔH_f (0 K) = -0.795 eV/f.u.
Size of the total moment = 0.00 μB per formula unit
DOS(E_F) = 39.58 states/eV per cell

a b c (Å): 12.052 12.052 12.052
angles (deg): 109.47 109.47 109.47
Sites, in units of the cell vectors:
P1 0.750 0.375 0.125
P2 0.875 0.750 0.125
P3 0.375 0.750 0.625
P4 0.250 0.125 0.375
P5 0.875 0.125 0.250
P6 0.375 0.625 0.250
P7 0.625 0.375 0.750
P8 0.125 0.875 0.750
P9 0.750 0.875 0.625
P10 0.625 0.250 0.375
P11 0.125 0.250 0.875
P12 0.250 0.625 0.875
Li1 0.125 0.375 0.250
Li2 0.000 0.500 0.000
Li3 0.000 0.000 0.000
Li4 0.375 0.250 0.125
Li5 0.500 0.000 0.500
Li6 0.500 0.500 0.000
Li7 0.125 0.750 0.375
Li8 0.750 0.125 0.875
Li9 0.750 0.625 0.375
Li10 0.375 0.125 0.750
Li11 0.625 0.875 0.250
Li12 0.500 0.500 0.500
Li13 0.500 0.000 0.000
Li14 0.000 0.000 0.500
Li15 0.250 0.375 0.625
Li16 0.250 0.875 0.125
Li17 0.000 0.500 0.500
Li18 0.875 0.250 0.625
Li19 0.625 0.750 0.875
Li20 0.875 0.625 0.750
Pd1 0.731 0.123 0.066
Pd2 0.335 0.566 0.443
Pd3 0.934 0.377 0.269
Pd4 0.566 0.231 0.123
Pd5 0.608 0.731 0.665
Pd6 0.934 0.557 0.165
Pd7 0.335 0.769 0.392
Pd8 0.057 0.892 0.123
Pd9 0.557 0.934 0.665
Pd10 0.731 0.608 0.165
Pd11 0.769 0.434 0.377
Pd12 0.835 0.943 0.066
Pd13 0.123 0.731 0.566
Pd14 0.377 0.443 0.108
Pd15 0.108 0.943 0.377
Pd16 0.392 0.123 0.557
Pd17 0.108 0.165 0.231
Pd18 0.434 0.665 0.057
Pd19 0.835 0.892 0.269
Pd20 0.123 0.392 0.057
Pd21 0.377 0.934 0.769
Pd22 0.557 0.623 0.392
Pd23 0.943 0.835 0.566
Pd24 0.769 0.335 0.892
Pd25 0.443 0.377 0.608
Pd26 0.057 0.165 0.434
Pd27 0.231 0.665 0.108
Pd28 0.165 0.108 0.731
Pd29 0.623 0.066 0.231
Pd30 0.877 0.608 0.943
Pd31 0.566 0.335 0.943
Pd32 0.608 0.877 0.443
Pd33 0.892 0.835 0.769
Pd34 0.892 0.057 0.623
Pd35 0.877 0.269 0.434
Pd36 0.165 0.057 0.934
Pd37 0.623 0.557 0.892
Pd38 0.443 0.066 0.335
Pd39 0.269 0.392 0.835
Pd40 0.231 0.566 0.623
Pd41 0.943 0.108 0.877
Pd42 0.665 0.231 0.608
Pd43 0.434 0.769 0.877
Pd44 0.066 0.443 0.835
Pd45 0.392 0.269 0.335
Pd46 0.066 0.623 0.731
Pd47 0.665 0.434 0.557
Pd48 0.269 0.877 0.934


# 3
CeFeSi3Os | PBE-GGA | optimized geometry

Results
Size of the total moment = 0.69 μB per formula unit
DOS(E_F) = 12.73 states/eV per cell
E_form (uncorrected) = -0.35 eV per atom

a b c (Å): 5.500 7.345 6.490
angles (deg): 124.46 90.00 90.00
Sites, in units of the cell vectors:
Ce1 0.750 0.243 0.485
Ce2 0.250 0.757 0.515
Fe1 0.250 0.042 0.085
Fe2 0.750 0.958 0.915
Si1 0.250 0.238 0.475
Si2 0.000 0.240 0.000
Si3 0.500 0.760 0.000
Si4 0.500 0.240 0.000
Si5 0.000 0.760 0.000
Si6 0.750 0.762 0.525
Os1 0.250 0.446 0.892
Os2 0.750 0.554 0.108


# 4
SbTeBr2 | PBE-GGA | optimized geometry

Results
Size of the total moment = 0.00 μB per formula unit
DOS(E_F) = 1.45 states/eV per cell
E_form (uncorrected) = 0.12 eV per atom

a b c (Å): 3.375 3.375 10.866
angles (deg): 90.00 90.00 90.00
Sites, in units of the cell vectors:
Sb1 0.500 0.500 0.250
Te1 0.500 0.500 0.750
Br1 0.000 0.000 0.069
Br2 0.000 0.000 0.431


# 5
ReSbNF2 | PBE-GGA | optimized geometry

Results
Size of the total moment = 5.13 μB per formula unit
DOS(E_F) = 1.33 states/eV per cell
E_form (uncorrected) = 0.60 eV per atom

a b c (Å): 4.365 4.365 4.489
angles (deg): 90.00 90.00 90.00
Sites, in units of the cell vectors:
Re1 0.500 0.500 0.500
N1 0.000 0.000 0.500
F1 0.000 0.500 0.000
F2 0.500 0.000 0.000
Sb1 0.000 0.000 0.000


# 6
NaAl2Ru2 | PBE-GGA | optimized geometry

Results
ΔH_f (0 K) = -0.774 eV/f.u.
Size of the total moment = 0.00 μB per formula unit
DOS(E_F) = 8.53 states/eV per cell

a b c (Å): 7.189 7.189 3.008
angles (deg): 90.00 90.00 90.00
Sites, in units of the cell vectors:
Ru1 0.155 0.655 0.500
Ru2 0.655 0.845 0.500
Ru3 0.845 0.345 0.500
Ru4 0.345 0.155 0.500
Al1 0.365 0.865 0.000
Al2 0.865 0.635 0.000
Al3 0.635 0.135 0.000
Al4 0.135 0.365 0.000
Na1 0.000 0.000 0.000
Na2 0.500 0.500 0.000